First-principles (PBE-GGA) data for SrIn2Cu2 after structural relaxation, as listed in the Alexandria database.

Cell lengths 4.481, 4.481, 6.494 Å; angles 69.82, 69.82, 90.00 degrees
Fractional coordinates of all 5 atoms:
Sr 0.000 0.000 0.000
In 0.750 0.250 0.500
In 0.250 0.750 0.500
Cu 0.609 0.609 0.782
Cu 0.391 0.391 0.218

Formation energy from the elements ... -0.193 eV per atom
Total magnetic moment ... 0.0 μB per cell


First-principles (PBE-GGA) data for Tb3As5Rh6 after structural relaxation, as listed in the Alexandria database.

Cell lengths 4.004, 9.785, 12.678 Å; angles 90.00, 90.00, 90.00 degrees
Fractional coordinates of all 28 atoms:
Rh 0.500 0.991 0.667
Rh 0.000 0.009 0.167
Rh 0.500 0.013 0.000
Rh 0.000 0.484 0.500
Rh 0.500 0.516 0.000
Rh 0.500 0.991 0.333
Rh 0.000 0.597 0.305
Rh 0.000 0.597 0.695
Rh 0.000 0.009 0.833
Rh 0.000 0.987 0.500
Rh 0.500 0.403 0.805
Rh 0.500 0.403 0.195
Tb 0.500 0.755 0.162
Tb 0.000 0.263 0.000
Tb 0.000 0.245 0.662
Tb 0.500 0.737 0.500
Tb 0.500 0.755 0.838
Tb 0.000 0.245 0.338
As 0.500 0.156 0.170
As 0.500 0.465 0.619
As 0.500 0.145 0.500
As 0.000 0.535 0.119
As 0.500 0.465 0.381
As 0.000 0.844 0.330
As 0.000 0.844 0.670
As 0.500 0.156 0.830
As 0.000 0.855 0.000
As 0.000 0.535 0.881

Formation energy from the elements ... -0.947 eV per atom
Total magnetic moment ... 0.0 μB per cell


First-principles (PBE-GGA) data for K3Ag after structural relaxation, as listed in the Alexandria database.

Cell lengths 6.674, 6.674, 6.674 Å; angles 90.00, 90.00, 90.00 degrees
Fractional coordinates of all 4 atoms:
K 0.500 0.000 0.000
K 0.000 0.500 0.000
K 0.000 0.000 0.500
Ag 0.000 0.000 0.000

Formation energy from the elements ... 0.151 eV per atom
Energy relative to the lowest polymorph listed for this composition ... 123 meV per atom
Total magnetic moment ... 0.0 μB per cell


First-principles (PBE-GGA) data for Mn3SiH after structural relaxation, as listed in the Alexandria database.

Cell lengths 2.661, 2.661, 15.585 Å; angles 90.00, 90.00, 120.00 degrees
Last column: magnetic moment on the atom in μB.
Fractional coordinates of all 10 atoms:
Si 0.000 0.000 0.000  -0.02
Si 0.000 0.000 0.500  -0.02
Mn 0.000 0.000 0.750  -0.41
Mn 0.667 0.333 0.376  0.46
Mn 0.000 0.000 0.250  -0.41
Mn 0.333 0.667 0.624  0.46
Mn 0.333 0.667 0.876  0.46
Mn 0.667 0.333 0.124  0.46
H 0.333 0.667 0.750  0.00
H 0.667 0.333 0.250  0.00

Energy relative to the lowest polymorph listed for this composition ... 291 meV per atom
Total magnetic moment ... 1.0 μB per cell


First-principles (PBE-GGA) data for PmTmCu after structural relaxation, as listed in the Alexandria database.

Cell lengths 4.912, 8.726, 7.009 Å; angles 90.00, 90.00, 90.00 degrees
Fractional coordinates of all 12 atoms:
Pm 0.250 0.826 0.484
Pm 0.250 0.674 0.984
Pm 0.750 0.174 0.516
Pm 0.750 0.326 0.016
Cu 0.750 0.899 0.750
Cu 0.250 0.101 0.250
Cu 0.250 0.399 0.750
Cu 0.750 0.601 0.250
Tm 0.250 0.417 0.359
Tm 0.750 0.583 0.641
Tm 0.250 0.083 0.859
Tm 0.750 0.917 0.141

Formation energy from the elements ... -0.140 eV per atom
Energy relative to the lowest polymorph listed for this composition ... 0 meV per atom
Total magnetic moment ... 0.0 μB per cell


First-principles (PBE-GGA) data for Pr8CoCu3I4 after structural relaxation, as listed in the Alexandria database.

Cell lengths 8.462, 9.415, 8.463 Å; angles 116.71, 120.00, 90.00 degrees
Fractional coordinates of all 16 atoms:
Co 0.000 0.500 0.000
I 0.500 0.000 0.500
I 0.000 0.000 0.500
I 0.500 0.000 0.000
I 0.000 0.000 0.000
Pr 0.777 0.310 0.033
Pr 0.223 0.690 0.967
Pr 0.777 0.310 0.555
Pr 0.267 0.302 0.535
Pr 0.733 0.698 0.465
Pr 0.223 0.690 0.445
Pr 0.745 0.690 0.967
Pr 0.255 0.310 0.033
Cu 0.000 0.500 0.500
Cu 0.500 0.500 0.000
Cu 0.500 0.500 0.500

Uncorrected energy ... -4.5108 eV per atom
Total magnetic moment ... 0.0 μB per cell